# BaScMn2 | Alexandria via LeMat-Bulk | PBE | optimized geometry
data_BaScMn2
_cell_length_a 8.072
_cell_length_b 8.072
_cell_length_c 8.072
_cell_angle_alpha 27.27
_cell_angle_beta 27.27
_cell_angle_gamma 27.27
_symmetry_space_group_name_H-M 'P 1'
_symmetry_Int_Tables_number 1
loop_
_symmetry_equiv_pos_as_xyz
'x,y,z'
loop_
_atom_site_label
_atom_site_type_symbol
_atom_site_fract_x
_atom_site_fract_y
_atom_site_fract_z
Ba1 Ba 0.725 0.725 0.725
Sc1 Sc 0.543 0.543 0.543
Mn1 Mn 0.956 0.956 0.956
Mn2 Mn 0.276 0.276 0.276
# Energy of formation from the pure elements ... 132 kJ/mol of formula units
# E above lowest polymorph ... 0.00 eV per formula unit


# Ba2ScMn | Alexandria via LeMat-Bulk | PBE | optimized geometry
data_Ba2ScMn
_cell_length_a 3.867
_cell_length_b 3.867
_cell_length_c 9.775
_cell_angle_alpha 90.00
_cell_angle_beta 90.00
_cell_angle_gamma 90.00
_symmetry_space_group_name_H-M 'P 1'
_symmetry_Int_Tables_number 1
loop_
_symmetry_equiv_pos_as_xyz
'x,y,z'
loop_
_atom_site_label
_atom_site_type_symbol
_atom_site_fract_x
_atom_site_fract_y
_atom_site_fract_z
Ba1 Ba 0.000 0.000 0.942
Ba2 Ba 0.500 0.500 0.322
Sc1 Sc 0.500 0.500 0.673
Mn1 Mn 0.000 0.000 0.563
# Energy of formation from the pure elements ... 134 kJ/mol of formula units
# E above lowest polymorph ... 0.00 eV per formula unit


# Ba2ScMn | Alexandria via LeMat-Bulk | PBE | optimized geometry
data_Ba2ScMn
_cell_length_a 12.082
_cell_length_b 12.082
_cell_length_c 8.896
_cell_angle_alpha 47.23
_cell_angle_beta 47.23
_cell_angle_gamma 90.00
_symmetry_space_group_name_H-M 'P 1'
_symmetry_Int_Tables_number 1
loop_
_symmetry_equiv_pos_as_xyz
'x,y,z'
loop_
_atom_site_label
_atom_site_type_symbol
_atom_site_fract_x
_atom_site_fract_y
_atom_site_fract_z
Ba1 Ba 0.375 0.212 0.750
Ba2 Ba 0.962 0.625 0.250
Ba3 Ba 0.875 0.038 0.750
Ba4 Ba 0.788 0.125 0.250
Mn1 Mn 0.750 0.250 0.500
Mn2 Mn 0.000 0.000 0.000
Sc1 Sc 0.250 0.750 0.500
Sc2 Sc 0.500 0.500 0.000
# Energy of formation from the pure elements ... 240 kJ/mol of formula units
# E above lowest polymorph ... 1.10 eV per formula unit


# BaScMn2 | Alexandria via LeMat-Bulk | PBE | optimized geometry
data_BaScMn2
_cell_length_a 5.627
_cell_length_b 5.627
_cell_length_c 5.627
_cell_angle_alpha 132.51
_cell_angle_beta 132.51
_cell_angle_gamma 69.42
_symmetry_space_group_name_H-M 'P 1'
_symmetry_Int_Tables_number 1
loop_
_symmetry_equiv_pos_as_xyz
'x,y,z'
loop_
_atom_site_label
_atom_site_type_symbol
_atom_site_fract_x
_atom_site_fract_y
_atom_site_fract_z
Ba1 Ba 0.750 0.250 0.500
Mn1 Mn 0.000 0.000 0.000
Mn2 Mn 0.250 0.750 0.500
Sc1 Sc 0.500 0.500 0.000
# Energy of formation from the pure elements ... 279 kJ/mol of formula units
# E above lowest polymorph ... 1.53 eV per formula unit